No. 1
Here is a relaxed structure of CsCo3W from Alexandria via LeMat-Bulk. Energies are from PBE.

Lattice parameters (Å, degrees): 4.5481 4.5481 4.5481 90.00 90.00 90.00
Site moments in Bohr magnetons follow the coordinates.
Positions (direct):
1 W 0.5000 0.5000 0.5000  1.90
2 Co 0.0000 0.0000 0.5000  0.14
3 Co 0.0000 0.5000 0.0000  0.16
4 Co 0.5000 0.0000 0.0000  0.09
5 Cs 0.0000 0.0000 0.0000  -0.01

## Properties
Calculated total energy in eV per atom: -3.9992

=====

No. 2
Here is a relaxed structure of CsCoW2 from Alexandria via LeMat-Bulk. Energies are from PBE.

Lattice parameters (Å, degrees): 5.0391 5.0391 8.8397 73.44 73.44 90.00
Positions (direct):
1 W 0.3067 0.6250 0.2500
2 W 0.4433 0.1250 0.2500
3 W 0.8750 0.6933 0.7500
4 W 0.3750 0.5567 0.7500
5 Cs 0.7500 0.2500 0.5000
6 Cs 0.0000 0.0000 0.0000
7 Co 0.2500 0.7500 0.5000
8 Co 0.5000 0.5000 0.0000

## Properties
Calculated total energy in eV per atom: -6.4243

=====

Question: Which value of calculated total energy does entry 1 give?
Answer: -3.9992 eV per atom